Entry 1:
The following is a DFT calculation (GGA-PBE) of a relaxed structure of Tl2CdIn5. Values from VASP.

```
&SYSTEM
  ibrav = 0, nat = 8, ntyp = 3
/
ATOMIC_SPECIES
In 114.82 In.upf
Cd 112.41 Cd.upf
Tl 204.38 Tl.upf
CELL_PARAMETERS angstrom
-2.136 3.406 -2.264
-0.537 -2.766 -3.654
-7.766 -3.524 6.724
ATOMIC_POSITIONS crystal
In 0.618 0.118 0.236
Cd 0.000 0.000 0.000
In 0.118 0.618 0.236
In 0.500 0.500 0.000
In 0.882 0.382 0.764
Tl 0.248 0.248 0.497
Tl 0.752 0.752 0.503
In 0.382 0.882 0.764
```

Computed properties:
Space group   I4/mmm, No. 139
Energy of formation   0.024 eV per atom

---

Entry 2:
The following is a DFT calculation (GGA-PBE) of a relaxed structure of Cs2BePd. Values from VASP.

```
&SYSTEM
  ibrav = 0, nat = 4, ntyp = 3
/
ATOMIC_SPECIES
Cs 132.91 Cs.upf
Be 9.01 Be.upf
Pd 106.42 Pd.upf
CELL_PARAMETERS angstrom
4.096 0.109 4.415
0.555 4.889 3.474
-1.769 -0.178 5.755
ATOMIC_POSITIONS crystal
Cs 0.750 0.750 0.750
Be 0.000 0.000 0.000
Pd 0.500 0.500 0.500
Cs 0.250 0.250 0.250
```

Computed properties:
Space group   Fm-3m, No. 225
Offset from the most stable computed form   542.8 meV/atom
Energy of formation   0.784 eV per atom

---

Entry 3:
The following is a DFT calculation (GGA-PBE) of a relaxed structure of Pr2Sm3Er6. Values from VASP.

```
&SYSTEM
  ibrav = 0, nat = 11, ntyp = 3
/
ATOMIC_SPECIES
Pr 140.91 Pr.upf
Er 167.26 Er.upf
Sm 150.36 Sm.upf
CELL_PARAMETERS angstrom
-1.286 -5.634 -2.072
4.539 -3.685 -1.892
0.635 -6.050 9.976
ATOMIC_POSITIONS crystal
Pr 0.167 0.666 0.500
Er 0.917 0.667 0.248
Sm 0.336 0.329 0.000
Er 0.584 0.333 0.248
Sm 0.664 0.671 0.000
Pr 0.833 0.334 0.500
Er 0.083 0.333 0.752
Er 0.749 0.000 0.752
Sm 0.000 0.000 0.000
Er 0.416 0.667 0.752
Er 0.251 0.000 0.248
```

Computed properties:
Space group   C2/m, No. 12
Offset from the most stable computed form   0.0 meV/atom
Energy of formation   0.183 eV per atom

---

Entry 4:
The following is a DFT calculation (GGA-PBE) of a relaxed structure of ReHgH2Ru. Values from VASP.

```
&SYSTEM
  ibrav = 0, nat = 5, ntyp = 4
/
ATOMIC_SPECIES
Ru 101.07 Ru.upf
Re 186.21 Re.upf
H 1.01 H.upf
Hg 200.59 Hg.upf
CELL_PARAMETERS angstrom
-0.329 3.042 2.220
-1.600 -2.796 3.593
3.551 -0.491 1.199
ATOMIC_POSITIONS crystal
Ru 0.000 0.000 0.000
Re 0.000 0.500 0.000
H 0.000 0.000 0.500
Hg 0.500 0.500 0.500
H 0.500 0.000 0.000
```

Computed properties:
E   -4.773 eV/atom
Space group   P4/mmm, No. 123

---

- Number 3 is which compound?
  Pr2Sm3Er6